Entry 1:
This record from Alexandria via LeMat-Bulk describes a geometry-optimized CsSbSe3 structure. The functional is PBE-GGA.

Unit cell a=5.389 b=6.889 c=10.096 alpha=90.00 beta=90.33 gamma=90.00
Fractional positions:
Se (0.489, 0.986, 0.654)
Se (0.511, 0.486, 0.346)
Se (0.991, 0.490, 0.345)
Se (0.009, 0.990, 0.655)
Se (0.251, 0.822, 0.030)
Se (0.749, 0.322, 0.970)
Sb (0.750, 0.967, 0.885)
Sb (0.250, 0.467, 0.115)
Cs (0.752, 0.986, 0.297)
Cs (0.248, 0.486, 0.703)

Output
Raw formation energy in kJ/mol of formula units: -248
Symmetry: P2_1 (4)
Crystal system: monoclinic

---

Entry 2:
This record from Alexandria via LeMat-Bulk describes a geometry-optimized CsSbSe2 structure. The functional is PBE-GGA.

Unit cell a=4.297 b=4.297 c=8.778 alpha=75.83 beta=75.83 gamma=60.00
Fractional positions:
Se (0.063, 0.063, 0.811)
Se (0.271, 0.271, 0.187)
Cs (0.499, 0.499, 0.503)
Sb (0.667, 0.667, 0.999)

Output
Raw formation energy in kJ/mol of formula units: -254
Symmetry: R3m (160)
Crystal system: trigonal

---

Entry 3:
This record from Alexandria via LeMat-Bulk describes a geometry-optimized Cs3SbSe3 structure. The functional is PBE-GGA.

Unit cell a=10.842 b=10.842 c=10.842 alpha=90.00 beta=90.00 gamma=90.00
Fractional positions:
Cs (0.076, 0.924, 0.424)
Cs (0.310, 0.690, 0.190)
Cs (0.924, 0.424, 0.076)
Cs (0.814, 0.186, 0.686)
Cs (0.686, 0.814, 0.186)
Cs (0.810, 0.810, 0.810)
Cs (0.186, 0.686, 0.814)
Cs (0.576, 0.576, 0.576)
Cs (0.424, 0.076, 0.924)
Cs (0.690, 0.190, 0.310)
Cs (0.314, 0.314, 0.314)
Cs (0.190, 0.310, 0.690)
Se (0.704, 0.904, 0.506)
Se (0.404, 0.994, 0.296)
Se (0.006, 0.796, 0.096)
Se (0.296, 0.404, 0.994)
Se (0.506, 0.704, 0.904)
Se (0.994, 0.296, 0.404)
Se (0.494, 0.204, 0.596)
Se (0.096, 0.006, 0.796)
Se (0.596, 0.494, 0.204)
Se (0.904, 0.506, 0.704)
Se (0.796, 0.096, 0.006)
Se (0.204, 0.596, 0.494)
Sb (0.024, 0.024, 0.024)
Sb (0.976, 0.524, 0.476)
Sb (0.524, 0.476, 0.976)
Sb (0.476, 0.976, 0.524)

Output
Raw formation energy in kJ/mol of formula units: -668
Symmetry: P2_13 (198)
Crystal system: cubic

---

- The highest raw formation energy belongs to which entry?
  CsSbSe3